## TbCdGe2 (GGA-PBE)

Data for a relaxed structure of TbCdGe2.

abc: 4.215 4.215 10.013
angles: 102.15 102.15 90.00
Fractional coordinates of all 8 atoms:
Tb  0.110  0.110  0.219
Tb  0.890  0.890  0.781
Cd  0.750  0.250  0.500
Cd  0.250  0.750  0.500
Ge  0.362  0.362  0.724
Ge  0.638  0.638  0.276
Ge  0.500  0.000  0.000
Ge  0.000  0.500  0.000

Calculated values
Space-group type ... I4/mmm, No. 139
D(E_F) ... 0.913 states/eV/f.u.
Polymorph energy (0 for the lowest one) ... 0.0 meV/atom
DFT total energy ... -4.147 eV/atom
E_form ... -452 meV/atom
Magnetic moment ... 0.00 μB per formula unit